GdY2Ga3Ni3 | PBE | relaxed

Results
As for the magnetic moment: 0.001 μB per atom. The value obtained for the energy is -5.4469 eV per atom. Its crystal system is orthorhombic.

The structure in CIF format:
```
data_GdY2Ga3Ni3
_cell_length_a 3.766
_cell_length_b 12.195
_cell_length_c 7.072
_cell_angle_alpha 90.00
_cell_angle_beta 90.00
_cell_angle_gamma 90.00
_symmetry_space_group_name_H-M 'A m m 2'
_symmetry_Int_Tables_number 38
loop_
_symmetry_equiv_pos_as_xyz
'x,y,z'
'-x,-y,z'
'-x,y,z'
'x,-y,z'
'x,y+1/2,z+1/2'
'-x,-y+1/2,z+1/2'
'-x,y+1/2,z+1/2'
'x,-y+1/2,z+1/2'
loop_
_atom_site_label
_atom_site_type_symbol
_atom_site_fract_x
_atom_site_fract_y
_atom_site_fract_z
_atom_site_occupancy
Gd1 Gd 0.000 0.000 0.000 1
Y1 Y 0.000 0.206 0.382 1
Ga1 Ga 0.500 0.000 0.343 1
Ga2 Ga 0.500 0.124 0.709 1
Ni1 Ni 0.000 0.000 0.588 1
Ni2 Ni 0.500 0.166 0.087 1
```